No. 1
Compound: RhAu7
Source: the Alexandria database
Functional: PBEsol
Structure: optimized geometry

Final energy in eV/f.u.: -35.02

Lattice parameters (Å, degrees): 5.7075 5.7075 5.7075 60.00 60.00 60.00
With the nearest neighbours (Å) after each atom.
Positions (direct):
Au 0.5000 0.0000 0.0000  10 Au 2.85, 2 Rh 2.85
Au 0.5000 0.5000 0.0000  10 Au 2.85, 2 Rh 2.85
Au 0.0000 0.5000 0.0000  2 Rh 2.85, 10 Au 2.85
Au 0.5000 0.0000 0.5000  10 Au 2.85, 2 Rh 2.85
Au 0.0000 0.0000 0.5000  10 Au 2.85, 2 Rh 2.85
Au 0.0000 0.5000 0.5000  10 Au 2.85, 2 Rh 2.85
Au 0.5000 0.5000 0.5000  12 Au 2.85
Rh 0.0000 0.0000 0.0000  12 Au 2.85



No. 2
Compound: Rh2Au
Source: the Alexandria database
Functional: PBEsol
Structure: optimized geometry

Energy above the most stable polymorph in this dataset in eV/atom: 0.1622

Lattice parameters (Å, degrees): 2.6809 4.3861 4.3861 120.00 90.00 90.00
With the nearest neighbours (Å) after each atom.
Positions (direct):
Au 0.5000 0.0000 0.0000  2 Au 2.68, 12 Rh 2.87
Rh 0.0000 0.6667 0.3333  5 Rh 2.53-2.68
Rh 0.0000 0.3333 0.6667  5 Rh 2.53-2.68



No. 3
Compound: RhAu5
Source: the Alexandria database
Functional: PBEsol
Structure: optimized geometry

Energy above the most stable polymorph in this dataset in eV/atom: 0.3222

Lattice parameters (Å, degrees): 5.3009 5.3009 5.3009 60.00 60.00 60.00
With the nearest neighbours (Å) after each atom.
Positions (direct):
Au 0.3749 0.3749 0.3749  6 Au 2.65
Au 0.7500 0.7500 0.7500  12 Au 3.11, 4 Rh 3.25
Au 0.8753 0.3749 0.3749  6 Au 2.65
Au 0.3749 0.8753 0.3749  6 Au 2.65
Au 0.3749 0.3749 0.8753  6 Au 2.65
Rh 0.0000 0.0000 0.0000  16 Au 3.11-3.25



No. 4
Compound: Ru2RhAu
Source: the Alexandria database
Functional: PBEsol
Structure: optimized geometry

Energy above the most stable polymorph in this dataset in eV/atom: 0.1881

Lattice parameters (Å, degrees): 2.6772 2.6772 9.3175 90.00 90.00 118.89
With the nearest neighbours (Å) after each atom.
Positions (direct):
Au 0.0000 0.0000 0.4995  6 Au 2.68-2.72, 2 Rh 2.79, 2 Ru 2.82
Rh 0.5000 0.5000 0.2375  2 Ru 2.61, 6 Rh 2.68-2.72, 2 Au 2.79
Ru 0.0000 0.0000 0.9980  8 Ru 2.56-2.72, 2 Rh 2.61
Ru 0.5000 0.5000 0.7650  8 Ru 2.56-2.72, 2 Au 2.82



No. 5
Compound: Ru2RhAu
Source: the Alexandria database
Functional: PBEsol
Structure: optimized geometry

Energy above the most stable polymorph in this dataset in eV/atom: 0.0000

Lattice parameters (Å, degrees): 2.7057 2.7057 9.1062 81.46 81.46 60.00
With the nearest neighbours (Å) after each atom.
Positions (direct):
Au 0.5000 0.5000 0.5000  6 Au 2.71, 6 Ru 2.83
Rh 0.0000 0.0000 0.0000  6 Ru 2.64, 6 Rh 2.71
Ru 0.2544 0.2544 0.2369  3 Rh 2.64, 6 Ru 2.71, 3 Au 2.83
Ru 0.7456 0.7456 0.7631  3 Rh 2.64, 6 Ru 2.71, 3 Au 2.83



No. 6
Compound: RhAuS3
Source: the Alexandria database
Functional: PBEsol
Structure: optimized geometry

Formation energy from raw total energies in eV/f.u.: 6.281

Lattice parameters (Å, degrees): 4.6940 4.6940 4.6940 90.00 90.00 90.00
With the nearest neighbours (Å) after each atom.
Positions (direct):
Rh 0.5000 0.5000 0.5000  12 S 3.32
S 0.0000 0.5000 0.0000  2 Au 2.35
S 0.0000 0.0000 0.5000  2 Au 2.35
S 0.5000 0.0000 0.0000  2 Au 2.35
Au 0.0000 0.0000 0.0000  6 S 2.35



No. 7
Compound: SbRh2Au
Source: the Alexandria database
Functional: PBEsol
Structure: optimized geometry

Formation energy from raw total energies in eV/f.u.: -0.525

Lattice parameters (Å, degrees): 3.6694 4.1561 4.1562 90.00 90.00 90.00
With the nearest neighbours (Å) after each atom.
Positions (direct):
Au 0.5000 0.5000 0.1250  8 Rh 2.77, 4 Sb 2.94
Rh 0.0000 0.0000 0.1250  4 Sb 2.77, 4 Au 2.77, 4 Rh 2.94
Rh 0.0000 0.5000 0.6250  4 Sb 2.77, 4 Au 2.77, 4 Rh 2.94
Sb 0.5000 0.0000 0.6250  8 Rh 2.77, 4 Au 2.94



No. 8
Compound: SbRh2Au2
Source: the Alexandria database
Functional: PBEsol
Structure: optimized geometry

Formation energy from raw total energies in eV/f.u.: 1.375

Lattice parameters (Å, degrees): 3.6680 3.6680 7.1742 104.81 104.81 90.00
With the nearest neighbours (Å) after each atom.
Positions (direct):
Sb 0.0000 0.0000 0.0000  8 Rh 2.89
Au 0.2500 0.7500 0.5000  4 Au 2.59, 4 Rh 2.76
Au 0.7500 0.2500 0.5000  4 Au 2.59, 4 Rh 2.76
Rh 0.4039 0.4039 0.8077  1 Rh 2.57, 4 Au 2.76
Rh 0.5961 0.5961 0.1923  1 Rh 2.57, 4 Au 2.76